No. 1
First-principles (meta-GGA SCAN) data for a crystal of NbCdP2O relaxed with PBEsol, as listed in Alexandria.

Space-group type: No. 123
Raw formation energy in eV per atom: 0.901

POSCAR file:
```
NbCdP2O
1.0
4.814 0.000 0.000
0.000 4.814 0.000
0.000 0.000 3.872
Nb Cd P O
1 1 2 1
Direct
0.000 0.000 0.000 Nb
0.500 0.500 0.500 Cd
0.000 0.500 0.500 P
0.500 0.000 0.500 P
0.500 0.500 0.000 O
```

=====

No. 2
First-principles (meta-GGA SCAN) data for a crystal of NbCdOs3 relaxed with PBEsol, as listed in Alexandria.

Space-group type: No. 221
VASP energy in eV per cell: -264.4

POSCAR file:
```
NbCdOs3
1.0
4.645 0.000 0.000
0.000 4.645 0.000
0.000 0.000 4.645
Nb Cd Os
1 1 3
Direct
0.000 0.000 0.000 Nb
0.500 0.500 0.500 Cd
0.000 0.500 0.500 Os
0.500 0.000 0.500 Os
0.500 0.500 0.000 Os
```

=====

No. 3
First-principles (meta-GGA SCAN) data for a crystal of NbCdP3 relaxed with PBEsol, as listed in Alexandria.

Space-group type: No. 221
VASP energy in eV per cell: -87.2

POSCAR file:
```
NbCdP3
1.0
4.746 0.000 0.000
0.000 4.746 0.000
0.000 0.000 4.746
Nb Cd P
1 1 3
Direct
0.000 0.000 0.000 Nb
0.500 0.500 0.500 Cd
0.000 0.500 0.500 P
0.500 0.000 0.500 P
0.500 0.500 0.000 P
```

=====

No. 4
First-principles (meta-GGA SCAN) data for a crystal of NbCd3P relaxed with PBEsol, as listed in Alexandria.

Space-group type: No. 221
VASP energy in eV per cell: -129.8

POSCAR file:
```
NbCd3P
1.0
4.905 0.000 0.000
0.000 4.905 0.000
0.000 0.000 4.905
Nb Cd P
1 3 1
Direct
0.000 0.000 0.000 Nb
0.000 0.500 0.500 Cd
0.500 0.000 0.500 Cd
0.500 0.500 0.000 Cd
0.500 0.500 0.500 P
```

=====

No. 5
First-principles (meta-GGA SCAN) data for a crystal of ScNbCdP2 relaxed with PBEsol, as listed in Alexandria.

Space-group type: No. 123
VASP energy in eV per cell: -92.3

POSCAR file:
```
ScNbCdP2
1.0
4.774 0.000 0.000
0.000 4.774 0.000
0.000 0.000 5.090
Sc Nb Cd P
1 1 1 2
Direct
0.000 0.000 0.000 Sc
0.500 0.500 0.000 Nb
0.500 0.500 0.500 Cd
0.000 0.500 0.500 P
0.500 0.000 0.500 P
```

=====

No. 6
First-principles (meta-GGA SCAN) data for a crystal of Nb3CdPd relaxed with PBEsol, as listed in Alexandria.

Space-group type: No. 221
VASP energy in eV per cell: -152.2

POSCAR file:
```
Nb3CdPd
1.0
4.893 0.000 0.000
0.000 4.893 0.000
0.000 0.000 4.893
Nb Cd Pd
3 1 1
Direct
0.000 0.000 0.500 Nb
0.000 0.500 0.000 Nb
0.500 0.000 0.000 Nb
0.000 0.000 0.000 Cd
0.500 0.500 0.500 Pd
```

=====

No. 7
First-principles (meta-GGA SCAN) data for a crystal of NbCdSb2Pd relaxed with PBEsol, as listed in Alexandria.

Space-group type: No. 123
Raw formation energy in eV per atom: 0.665

POSCAR file:
```
NbCdSb2Pd
1.0
5.078 0.000 0.000
0.000 5.078 0.000
0.000 0.000 4.908
Nb Cd Sb Pd
1 1 2 1
Direct
0.000 0.000 0.000 Nb
0.500 0.500 0.000 Cd
0.000 0.500 0.500 Sb
0.500 0.000 0.500 Sb
0.500 0.500 0.500 Pd
```

=====

No. 8
First-principles (meta-GGA SCAN) data for a crystal of ScNbCdPd2 relaxed with PBEsol, as listed in Alexandria.

Space-group type: No. 123
VASP energy in eV per cell: -139.7

POSCAR file:
```
ScNbCdPd2
1.0
4.809 0.000 0.000
0.000 4.809 0.000
0.000 0.000 4.889
Sc Nb Cd Pd
1 1 1 2
Direct
0.000 0.000 0.000 Sc
0.000 0.000 0.500 Nb
0.500 0.500 0.000 Cd
0.000 0.500 0.500 Pd
0.500 0.000 0.500 Pd
```

=====

No. 9
First-principles (meta-GGA SCAN) data for a crystal of NbCdRe2Si relaxed with PBEsol, as listed in Alexandria.

Space-group type: No. 123
Raw formation energy in eV per atom: 2.352

POSCAR file:
```
NbCdRe2Si
1.0
4.665 0.000 0.000
0.000 4.665 0.000
0.000 0.000 5.218
Nb Cd Re Si
1 1 2 1
Direct
0.000 0.000 0.000 Nb
0.000 0.000 0.500 Cd
0.000 0.500 0.000 Re
0.500 0.000 0.000 Re
0.500 0.500 0.500 Si
```

=====

No. 10
First-principles (meta-GGA SCAN) data for a crystal of NbCd2Ru relaxed with PBEsol, as listed in Alexandria.

Space-group type: No. 225
VASP energy in eV per cell: -127.1

POSCAR file:
```
NbCd2Ru
1.0
0.000 3.236 3.236
3.236 0.000 3.236
3.236 3.236 0.000
Nb Cd Ru
1 2 1
Direct
0.000 0.000 0.000 Nb
0.250 0.250 0.250 Cd
0.750 0.750 0.750 Cd
0.500 0.500 0.500 Ru
```

=====

No. 11
First-principles (meta-GGA SCAN) data for a crystal of NbCdRu3 relaxed with PBEsol, as listed in Alexandria.

Space-group type: No. 221
VASP energy in eV per cell: -160.7

POSCAR file:
```
NbCdRu3
1.0
4.649 0.000 0.000
0.000 4.649 0.000
0.000 0.000 4.649
Nb Cd Ru
1 1 3
Direct
0.000 0.000 0.000 Nb
0.500 0.500 0.500 Cd
0.000 0.000 0.500 Ru
0.000 0.500 0.000 Ru
0.500 0.000 0.000 Ru
```

=====

No. 12
First-principles (meta-GGA SCAN) data for a crystal of TiNb2CdS relaxed with PBEsol, as listed in Alexandria.

Space-group type: No. 123
Raw formation energy in eV per atom: 0.366

POSCAR file:
```
TiNb2CdS
1.0
4.546 0.000 0.000
0.000 4.546 0.000
0.000 0.000 4.752
Ti Nb Cd S
1 2 1 1
Direct
0.000 0.000 0.000 Ti
0.000 0.500 0.500 Nb
0.500 0.000 0.500 Nb
0.500 0.500 0.000 Cd
0.500 0.500 0.500 S
```

=====

No. 13
First-principles (meta-GGA SCAN) data for a crystal of NbCdSb2 relaxed with PBEsol, as listed in Alexandria.

Space-group type: No. 122
Raw formation energy in eV per atom: 0.335

POSCAR file:
```
NbCdSb2
1.0
-3.240 3.240 6.138
3.240 -3.240 6.138
3.240 3.240 -6.138
Nb Cd Sb
2 2 4
Direct
0.000 0.000 0.000 Nb
0.750 0.250 0.500 Nb
0.250 0.750 0.500 Cd
0.500 0.500 0.000 Cd
0.106 0.625 0.981 Sb
0.375 0.356 0.481 Sb
0.644 0.125 0.019 Sb
0.875 0.894 0.519 Sb
```

=====

No. 14
First-principles (meta-GGA SCAN) data for a crystal of NbCdSb2Te relaxed with PBEsol, as listed in Alexandria.

Space-group type: No. 123
Raw formation energy in eV per atom: 0.328

POSCAR file:
```
NbCdSb2Te
1.0
5.353 0.000 0.000
0.000 5.353 0.000
0.000 0.000 5.287
Nb Cd Sb Te
1 1 2 1
Direct
0.000 0.000 0.000 Nb
0.500 0.500 0.500 Cd
0.000 0.500 0.000 Sb
0.500 0.000 0.000 Sb
0.000 0.000 0.500 Te
```

=====

No. 15
First-principles (meta-GGA SCAN) data for a crystal of ScTaNbCd2 relaxed with PBEsol, as listed in Alexandria.

Space-group type: No. 123
VASP energy in eV per cell: -166.5

POSCAR file:
```
ScTaNbCd2
1.0
4.959 0.000 0.000
0.000 4.959 0.000
0.000 0.000 4.611
Sc Ta Nb Cd
1 1 1 2
Direct
0.000 0.000 0.000 Sc
0.000 0.000 0.500 Ta
0.500 0.500 0.500 Nb
0.000 0.500 0.000 Cd
0.500 0.000 0.000 Cd
```

=====

No. 16
First-principles (meta-GGA SCAN) data for a crystal of Nb3CdSn relaxed with PBEsol, as listed in Alexandria.

Space-group type: No. 221
VASP energy in eV per cell: -158.1

POSCAR file:
```
Nb3CdSn
1.0
4.999 0.000 0.000
0.000 4.999 0.000
0.000 0.000 4.999
Nb Cd Sn
3 1 1
Direct
0.000 0.000 0.500 Nb
0.000 0.500 0.000 Nb
0.500 0.000 0.000 Nb
0.500 0.500 0.500 Cd
0.000 0.000 0.000 Sn
```

=====

No. 17
First-principles (meta-GGA SCAN) data for a crystal of SrNbCd3 relaxed with PBEsol, as listed in Alexandria.

Space-group type: No. 221
VASP energy in eV per cell: -139.1

POSCAR file:
```
SrNbCd3
1.0
5.658 0.000 0.000
0.000 5.658 0.000
0.000 0.000 5.658
Sr Nb Cd
1 1 3
Direct
0.000 0.000 0.000 Sr
0.500 0.500 0.500 Nb
0.000 0.000 0.500 Cd
0.000 0.500 0.000 Cd
0.500 0.000 0.000 Cd
```

=====

No. 18
First-principles (meta-GGA SCAN) data for a crystal of TaNb3Cd relaxed with PBEsol, as listed in Alexandria.

Space-group type: No. 221
VASP energy in eV per cell: -185.7

POSCAR file:
```
TaNb3Cd
1.0
4.864 0.000 0.000
0.000 4.864 0.000
0.000 0.000 4.864
Ta Nb Cd
1 3 1
Direct
0.000 0.000 0.000 Ta
0.000 0.500 0.500 Nb
0.500 0.000 0.500 Nb
0.500 0.500 0.000 Nb
0.500 0.500 0.500 Cd
```

=====

No. 19
First-principles (meta-GGA SCAN) data for a crystal of NbCd3Tc relaxed with PBEsol, as listed in Alexandria.

Space-group type: No. 221
VASP energy in eV per cell: -152.7

POSCAR file:
```
NbCd3Tc
1.0
5.010 0.000 0.000
0.000 5.010 0.000
0.000 0.000 5.010
Nb Cd Tc
1 3 1
Direct
0.000 0.000 0.000 Nb
0.000 0.500 0.500 Cd
0.500 0.000 0.500 Cd
0.500 0.500 0.000 Cd
0.500 0.500 0.500 Tc
```

=====

No. 20
First-principles (meta-GGA SCAN) data for a crystal of NbCdTc3 relaxed with PBEsol, as listed in Alexandria.

Space-group type: No. 221
VASP energy in eV per cell: -155.9

POSCAR file:
```
NbCdTc3
1.0
4.654 0.000 0.000
0.000 4.654 0.000
0.000 0.000 4.654
Nb Cd Tc
1 1 3
Direct
0.000 0.000 0.000 Nb
0.500 0.500 0.500 Cd
0.000 0.500 0.500 Tc
0.500 0.000 0.500 Tc
0.500 0.500 0.000 Tc
```

=====

No. 21
First-principles (meta-GGA SCAN) data for a crystal of Nb3CdTe relaxed with PBEsol, as listed in Alexandria.

Space-group type: No. 221
Raw formation energy in eV per atom: 1.742

POSCAR file:
```
Nb3CdTe
1.0
4.966 0.000 0.000
0.000 4.966 0.000
0.000 0.000 4.966
Nb Cd Te
3 1 1
Direct
0.000 0.000 0.500 Nb
0.000 0.500 0.000 Nb
0.500 0.000 0.000 Nb
0.000 0.000 0.000 Cd
0.500 0.500 0.500 Te
```

=====

No. 22
First-principles (meta-GGA SCAN) data for a crystal of TiNbCd3 relaxed with PBEsol, as listed in Alexandria.

Space-group type: No. 221
VASP energy in eV per cell: -134.1

POSCAR file:
```
TiNbCd3
1.0
5.185 0.000 0.000
0.000 5.185 0.000
0.000 0.000 5.185
Ti Nb Cd
1 1 3
Direct
0.000 0.000 0.000 Ti
0.500 0.500 0.500 Nb
0.000 0.500 0.500 Cd
0.500 0.000 0.500 Cd
0.500 0.500 0.000 Cd
```

=====

No. 23
First-principles (meta-GGA SCAN) data for a crystal of NbTlCd3 relaxed with PBEsol, as listed in Alexandria.

Space-group type: No. 221
VASP energy in eV per cell: -190.7

POSCAR file:
```
NbTlCd3
1.0
5.286 0.000 0.000
0.000 5.286 0.000
0.000 0.000 5.286
Nb Tl Cd
1 1 3
Direct
0.000 0.000 0.000 Nb
0.500 0.500 0.500 Tl
0.000 0.500 0.500 Cd
0.500 0.000 0.500 Cd
0.500 0.500 0.000 Cd
```

=====

No. 24
First-principles (meta-GGA SCAN) data for a crystal of NbTl3Cd relaxed with PBEsol, as listed in Alexandria.

Space-group type: No. 221
VASP energy in eV per cell: -275.1

POSCAR file:
```
NbTl3Cd
1.0
5.386 0.000 0.000
0.000 5.386 0.000
0.000 0.000 5.386
Nb Tl Cd
1 3 1
Direct
0.000 0.000 0.000 Nb
0.000 0.500 0.500 Tl
0.500 0.000 0.500 Tl
0.500 0.500 0.000 Tl
0.500 0.500 0.500 Cd
```

=====

No. 25
First-principles (meta-GGA SCAN) data for a crystal of NbCd3W relaxed with PBEsol, as listed in Alexandria.

Space-group type: No. 221
VASP energy in eV per cell: -185.2

POSCAR file:
```
NbCd3W
1.0
5.084 0.000 0.000
0.000 5.084 0.000
0.000 0.000 5.084
Nb Cd W
1 3 1
Direct
0.000 0.000 0.000 Nb
0.000 0.500 0.500 Cd
0.500 0.000 0.500 Cd
0.500 0.500 0.000 Cd
0.500 0.500 0.500 W
```

=====

No. 26
First-principles (meta-GGA SCAN) data for a crystal of NdCd11 relaxed with PBEsol, as listed in Alexandria.

Space-group type: No. 221
VASP energy in eV per cell: -1141.6

POSCAR file:
```
NdCd11
1.0
9.209 0.000 0.000
0.000 9.209 0.000
0.000 0.000 9.209
Nd Cd
3 33
Direct
0.000 0.000 0.500 Nd
0.000 0.500 0.000 Nd
0.500 0.000 0.000 Nd
0.000 0.345 0.345 Cd
0.000 0.345 0.655 Cd
0.000 0.655 0.345 Cd
0.000 0.655 0.655 Cd
0.157 0.157 0.157 Cd
0.157 0.157 0.843 Cd
0.157 0.843 0.157 Cd
0.157 0.843 0.843 Cd
0.266 0.266 0.500 Cd
0.266 0.500 0.266 Cd
0.266 0.500 0.734 Cd
0.266 0.734 0.500 Cd
0.345 0.000 0.345 Cd
0.345 0.000 0.655 Cd
0.345 0.345 0.000 Cd
0.345 0.655 0.000 Cd
0.500 0.266 0.266 Cd
0.500 0.266 0.734 Cd
0.500 0.500 0.500 Cd
0.500 0.734 0.266 Cd
0.500 0.734 0.734 Cd
0.655 0.000 0.345 Cd
0.655 0.000 0.655 Cd
0.655 0.345 0.000 Cd
0.655 0.655 0.000 Cd
0.734 0.266 0.500 Cd
0.734 0.500 0.266 Cd
0.734 0.500 0.734 Cd
0.734 0.734 0.500 Cd
0.843 0.157 0.157 Cd
0.843 0.157 0.843 Cd
0.843 0.843 0.157 Cd
0.843 0.843 0.843 Cd
```